Compound: CsCI2O
Source: Alexandria
Functional: PBE
Structure: optimized geometry

```
CsCI2O
1.0
-0.941 -7.356 -0.018
6.920 -0.879 -2.518
1.480 -0.199 4.136
I O Cs C
2 1 1 1
direct
0.500 0.000 0.000 I
0.000 0.500 0.000 I
0.000 0.000 0.500 O
0.000 0.000 0.000 Cs
0.500 0.500 0.500 C
```

Crystal system: tetragonal
Electronic total energy: -9.69 eV/cell

***

Compound: BaFeNi
Source: Alexandria
Functional: PBE
Structure: optimized geometry

```
BaFeNi
1.0
-2.601 2.661 1.622
0.997 -3.365 2.040
3.789 2.410 2.124
Fe Ba Ni
1 1 1
direct
0.667 0.333 0.500 Fe
0.000 0.000 0.000 Ba
0.333 0.667 0.500 Ni
```

Calculated formation energy: 347 meV per atom
Crystal system: hexagonal

***

Compound: Li3Np3IrN8
Source: Alexandria
Functional: PBE
Structure: optimized geometry

```
Li3Np3IrN8
1.0
-2.361 -2.280 5.741
1.012 -4.156 -5.042
4.816 2.721 3.059
Ir N Np Li
1 8 3 3
direct
0.000 0.000 0.500 Ir
0.261 0.523 0.284 N
0.265 0.030 0.295 N
0.235 0.970 0.705 N
0.765 0.030 0.295 N
0.739 0.477 0.716 N
0.235 0.471 0.705 N
0.765 0.529 0.295 N
0.735 0.970 0.705 N
0.000 0.500 0.500 Np
0.500 0.000 0.500 Np
0.500 0.500 0.500 Np
0.000 0.000 0.000 Li
0.500 0.500 0.000 Li
0.000 0.500 0.000 Li
```

Crystal system: trigonal
Electronic total energy: -128.70 eV/cell

***

Compound: SrSbSeBr2
Source: Alexandria
Functional: PBE
Structure: optimized geometry

```
SrSbSeBr2
1.0
5.708 0.000 0.000
0.000 5.708 0.000
0.000 0.000 6.196
Sr Br Se Sb
1 2 1 1
direct
0.000 0.000 0.000 Sr
0.000 0.500 0.000 Br
0.500 0.000 0.000 Br
0.000 0.000 0.500 Se
0.500 0.500 0.500 Sb
```

Crystal system: tetragonal
Electronic total energy: -14.84 eV/cell

***

Compound: PmNdS3
Source: Alexandria
Functional: PBE
Structure: optimized geometry

```
PmNdS3
1.0
-2.505 0.923 3.039
-4.226 -5.948 -1.678
8.524 -8.791 9.695
S Nd Pm
12 4 4
direct
0.250 0.010 0.392 S
0.750 0.854 0.218 S
0.750 0.126 0.066 S
0.750 0.354 0.282 S
0.250 0.374 0.566 S
0.250 0.146 0.782 S
0.250 0.510 0.108 S
0.750 0.990 0.608 S
0.750 0.490 0.892 S
0.250 0.874 0.934 S
0.750 0.626 0.434 S
0.250 0.646 0.718 S
0.250 0.644 0.296 Nd
0.750 0.356 0.704 Nd
0.750 0.856 0.796 Nd
0.250 0.144 0.204 Nd
0.750 0.235 0.456 Pm
0.750 0.735 0.044 Pm
0.250 0.265 0.956 Pm
0.250 0.765 0.544 Pm
```

Crystal system: orthorhombic
Electronic total energy: -129.06 eV/cell

***

Compound: Ac14LaTl
Source: Alexandria
Functional: PBE
Structure: optimized geometry

```
Ac14LaTl
1.0
7.786 1.044 0.000
-1.045 7.786 0.000
0.000 0.000 11.124
Ac La Tl
14 1 1
direct
0.627 0.877 0.243 Ac
0.627 0.877 0.757 Ac
0.375 0.625 0.500 Ac
0.375 0.124 0.500 Ac
0.876 0.625 0.500 Ac
0.626 0.374 0.756 Ac
0.875 0.125 0.500 Ac
0.123 0.877 0.242 Ac
0.123 0.877 0.758 Ac
0.123 0.373 0.243 Ac
0.377 0.126 0.000 Ac
0.626 0.374 0.244 Ac
0.874 0.623 0.000 Ac
0.123 0.373 0.757 Ac
0.375 0.625 0.000 La
0.875 0.125 0.000 Tl
```

Calculated formation energy: -15 meV per atom
Crystal system: orthorhombic

***

Compound: Tb8Cu2Os
Source: Alexandria
Functional: PBE
Structure: optimized geometry

```
Tb8Cu2Os
1.0
5.839 -0.029 -1.039
-2.049 6.816 -3.117
-0.149 -0.359 7.760
Tb Cu Os
8 2 1
direct
0.807 0.644 0.644 Tb
0.585 0.090 0.339 Tb
0.178 0.363 0.363 Tb
0.367 0.913 0.665 Tb
0.367 0.665 0.913 Tb
0.989 0.798 0.205 Tb
0.585 0.339 0.090 Tb
0.989 0.205 0.798 Tb
0.493 0.703 0.311 Cu
0.493 0.311 0.703 Cu
0.148 0.004 0.004 Os
```

Calculated formation energy: -25 meV per atom
Crystal system: monoclinic

***

Compound: EuGdYSc
Source: Alexandria
Functional: PBE
Structure: optimized geometry

```
EuGdYSc
1.0
-3.578 -2.323 3.685
1.984 -2.816 4.463
-0.530 2.180 5.171
Sc Gd Y Eu
1 1 1 1
direct
0.750 0.750 0.750 Sc
0.000 0.000 0.000 Gd
0.500 0.500 0.500 Y
0.250 0.250 0.250 Eu
```

Calculated formation energy: 166 meV per atom
Crystal system: cubic